VASP calculation (GGA-PBEsol) on a relaxed Ba3CrSe crystal.

Cell and atoms, written as CIF:
```
data_Ba3CrSe
_space_group_name_H-M_alt 'P m -3 m'
_space_group_IT_number 221
_space_group_name_Hall '-P 4 2 3'
_cell_length_a 6.199
_cell_length_b 6.199
_cell_length_c 6.199
_cell_angle_alpha 90.00
_cell_angle_beta 90.00
_cell_angle_gamma 90.00
loop_
_atom_site_label
_atom_site_type_symbol
_atom_site_fract_x
_atom_site_fract_y
_atom_site_fract_z
Ba1 Ba 0.000 0.000 0.500
Cr1 Cr 0.500 0.500 0.500
Se1 Se 0.000 0.000 0.000
```

formation energy from raw total energies = -129 meV/atom



VASP calculation (GGA-PBEsol) on a relaxed FeRe3 crystal.

Cell and atoms, written as CIF:
```
data_FeRe3
_space_group_name_H-M_alt 'R -3 m'
_space_group_IT_number 166
_space_group_name_Hall '-R 3 2"'
_cell_length_a 8.5718
_cell_length_b 8.5718
_cell_length_c 2.6337
_cell_angle_alpha 90.00
_cell_angle_beta 90.00
_cell_angle_gamma 120.00
loop_
_atom_site_label
_atom_site_type_symbol
_atom_site_fract_x
_atom_site_fract_y
_atom_site_fract_z
Fe1 Fe 0.0000 0.0000 0.0000
Re1 Re 0.0000 0.5000 0.0000
```

formation energy = 0.24 eV per atom